No. 1
Compound: KCaPb6
Source: Alexandria via LeMat-Bulk
Functional: PBE
Structure: optimized geometry

```
KCaPb6
1.0
5.895 0.000 0.000
0.000 6.205 -3.317
0.000 -0.227 7.032
K Ca Pb
1 1 6
direct
0.500 0.417 0.583
0.000 0.083 0.917
0.000 0.068 0.409
0.000 0.591 0.932
0.000 0.591 0.409
0.500 0.424 0.087
0.500 0.913 0.576
0.500 0.913 0.087
```

Properties
Energy of formation = -0.159 eV per atom
SG = P-6m2

=====

No. 2
Compound: K2CaPb
Source: Alexandria via LeMat-Bulk
Functional: PBE
Structure: optimized geometry

```
K2CaPb
1.0
13.541 0.042 0.025
12.953 3.947 0.025
12.953 1.951 3.432
Ca K Pb
1 2 1
direct
0.750 0.750 0.750
0.990 0.990 0.990
0.510 0.510 0.510
0.250 0.250 0.250
```

Properties
Energy of formation = 0.102 eV per atom
SG = R-3m

=====

No. 3
Compound: K2CaPb
Source: Alexandria via LeMat-Bulk
Functional: PBE
Structure: optimized geometry

```
K2CaPb
1.0
-3.020 4.498 -4.595
-1.253 -2.225 -6.629
-1.139 -2.303 6.623
Ca K Pb
1 2 1
direct
0.750 0.250 0.500
0.000 0.000 0.000
0.500 0.500 0.000
0.250 0.750 0.500
```

Properties
Energy of formation = -0.036 eV per atom
SG = I4/mmm

=====

No. 4
Compound: KCa2Pb
Source: Alexandria via LeMat-Bulk
Functional: PBE
Structure: optimized geometry

```
KCa2Pb
1.0
-0.694 10.339 6.510
-4.575 9.222 6.616
-1.964 7.708 9.300
Ca K Pb
2 1 1
direct
0.019 0.019 0.019
0.481 0.481 0.481
0.250 0.250 0.250
0.750 0.750 0.750
```

Properties
Energy of formation = -0.106 eV per atom
SG = R-3m

=====

No. 5
Compound: KCa5Pb6
Source: Alexandria via LeMat-Bulk
Functional: PBE
Structure: optimized geometry

```
KCa5Pb6
1.0
-4.709 1.865 0.472
-1.934 -2.627 -8.916
0.896 -6.383 6.741
Pb K Ca
6 1 5
direct
0.830 0.576 0.660
0.830 0.084 0.660
0.500 0.742 0.000
0.500 0.258 0.000
0.170 0.916 0.340
0.170 0.424 0.340
0.000 0.000 0.000
0.661 0.161 0.322
0.331 0.331 0.662
0.000 0.500 0.000
0.669 0.669 0.338
0.339 0.839 0.678
```

Properties
Energy of formation = -0.432 eV per atom
SG = Immm

=====

No. 6
Compound: KCa2Pb9
Source: Alexandria via LeMat-Bulk
Functional: PBE
Structure: optimized geometry

```
KCa2Pb9
1.0
-2.973 -2.198 -3.335
0.487 -4.326 2.417
-11.957 3.367 8.439
K Ca Pb
1 2 9
direct
0.000 0.000 0.000
0.000 0.000 0.340
0.000 0.000 0.660
0.500 0.500 0.000
0.500 0.500 0.335
0.500 0.500 0.665
0.500 0.000 0.173
0.500 0.000 0.500
0.500 0.000 0.827
0.000 0.500 0.173
0.000 0.500 0.500
0.000 0.500 0.827
```

Properties
Energy of formation = -0.234 eV per atom
SG = P4/mmm

=====

No. 7
Compound: K2CaPb
Source: Alexandria via LeMat-Bulk
Functional: PBE
Structure: optimized geometry

```
K2CaPb
1.0
5.974 -0.022 -0.045
0.014 5.974 0.045
-2.957 -3.013 4.227
Ca K Pb
1 2 1
direct
0.250 0.750 0.500
0.000 0.000 0.000
0.750 0.250 0.500
0.500 0.500 0.000
```

Properties
Energy of formation = -0.147 eV per atom
SG = Imm2

=====

No. 8
Compound: K2CaPb
Source: Alexandria via LeMat-Bulk
Functional: PBE
Structure: optimized geometry

```
K2CaPb
1.0
5.966 0.056 0.379
4.407 4.021 0.379
2.205 0.867 9.110
Ca K Pb
1 2 1
direct
0.193 0.193 0.375
0.999 0.999 0.057
0.830 0.830 0.693
0.478 0.478 0.374
```

Properties
Energy of formation = -0.104 eV per atom
SG = Cm